Entry 1:
The following is a meta-GGA SCAN calculation of a crystal of NaMo2Au relaxed with PBEsol, from the Alexandria database.

Calculated values
Total magnetization   0.00 μB/cell
Formation energy   1.08 eV per atom
Calculated total energy   -34.709 eV/atom

Cell: 6.3820 6.3820 6.3820 Å, 90.00 90.00 90.00°
Space group Fm-3m (No. 225)
Asymmetric unit:
Na: 0.0000 0.0000 0.0000 (multiplicity 4)
Mo: 0.2500 0.2500 0.2500 (multiplicity 8)
Au: 0.0000 0.0000 0.5000 (multiplicity 4)


Entry 2:
The following is a meta-GGA SCAN calculation of a crystal of LiHf3Ag relaxed with PBEsol, from the Alexandria database.

Calculated values
Total magnetization   1.21 μB/cell
Formation energy   1.12 eV per atom
Calculated total energy   -43.232 eV/atom

Cell: 5.0818 5.0818 5.0818 Å, 90.00 90.00 90.00°
Space group Pm-3m (No. 221)
Asymmetric unit:
Li: 0.0000 0.0000 0.0000 (multiplicity 1)
Hf: 0.0000 0.5000 0.5000 (multiplicity 3)
Ag: 0.5000 0.5000 0.5000 (multiplicity 1)


Entry 3:
The following is a meta-GGA SCAN calculation of a crystal of TeHPt2Pb relaxed with PBEsol, from the Alexandria database.

Calculated values
Total magnetization   0.81 μB/cell
Calculated total energy   -50.289 eV/atom

Cell: 4.8935 4.8935 6.0011 Å, 90.00 90.00 90.00°
Space group P4/mmm (No. 123)
Asymmetric unit:
Te: 0.0000 0.0000 0.0000 (multiplicity 1)
H: 0.5000 0.5000 0.5000 (multiplicity 1)
Pt: 0.0000 0.5000 0.0000 (multiplicity 2)
Pb: 0.0000 0.0000 0.5000 (multiplicity 1)


Entry 4:
The following is a meta-GGA SCAN calculation of a crystal of BeOs2Pt relaxed with PBEsol, from the Alexandria database.

Calculated values
Total magnetization   0.00 μB/cell
Formation energy   0.23 eV per atom
Calculated total energy   -54.344 eV/atom

Cell: 5.0790 7.8425 2.6885 Å, 90.00 90.00 90.00°
Space group Cmmm (No. 65)
Asymmetric unit:
Be: 0.0000 0.0000 0.0000 (multiplicity 2)
Os: 0.2500 0.2500 0.5000 (multiplicity 4)
Pt: 0.0000 0.5000 0.0000 (multiplicity 2)


Entry 5:
The following is a meta-GGA SCAN calculation of a crystal of Tc2IO2 relaxed with PBEsol, from the Alexandria database.

Calculated values
Total magnetization   0.00 μB/cell
Calculated total energy   -23.911 eV/atom
Formation energy (no corrections)   -1.06 kcal/mol of atoms

Cell: 3.8781 3.8781 9.7600 Å, 90.00 90.00 90.00°
Space group I4/mmm (No. 139)
Asymmetric unit:
Tc: 0.0000 0.5000 0.2500 (multiplicity 4)
I: 0.0000 0.0000 0.0000 (multiplicity 2)
O: 0.0000 0.0000 0.3264 (multiplicity 4)


Entry 6:
The following is a meta-GGA SCAN calculation of a crystal of YMoH2Pd relaxed with PBEsol, from the Alexandria database.

Calculated values
Total magnetization   0.00 μB/cell
Calculated total energy   -19.744 eV/atom

Cell: 3.8460 3.8460 4.9431 Å, 90.00 90.00 90.00°
Space group P4/mmm (No. 123)
Asymmetric unit:
Y: 0.0000 0.0000 0.0000 (multiplicity 1)
Mo: 0.5000 0.5000 0.0000 (multiplicity 1)
H: 0.0000 0.5000 0.5000 (multiplicity 2)
Pd: 0.5000 0.5000 0.5000 (multiplicity 1)


Entry 7:
The following is a meta-GGA SCAN calculation of a crystal of CrSeBr2 relaxed with PBEsol, from the Alexandria database.

Calculated values
Total magnetization   10.32 μB/cell
Energy above the lowest structure with this stoichiometry   0.00 kcal/mol of atoms
Calculated total energy   -19.561 eV/atom
Formation energy (no corrections)   -4.97 kcal/mol of atoms

Cell: 3.3872 3.3872 26.8707 Å, 90.00 90.00 120.00°
Space group R-3m (No. 166, hexagonal axes)
Asymmetric unit:
Cr: 0.0000 0.0000 0.0000 (multiplicity 3)
Se: 0.0000 0.0000 0.5000 (multiplicity 3)
Br: 0.0000 0.0000 0.2753 (multiplicity 6)


Entry 8:
The following is a meta-GGA SCAN calculation of a crystal of CrAu3F relaxed with PBEsol, from the Alexandria database.

Calculated values
Total magnetization   5.10 μB/cell
Calculated total energy   -45.400 eV/atom
Formation energy (no corrections)   11.05 kcal/mol of atoms

Cell: 4.4810 4.4810 4.4810 Å, 90.00 90.00 90.00°
Space group Pm-3m (No. 221)
Asymmetric unit:
Cr: 0.0000 0.0000 0.0000 (multiplicity 1)
Au: 0.0000 0.5000 0.5000 (multiplicity 3)
F: 0.5000 0.5000 0.5000 (multiplicity 1)